Below is an optimized crystal structure of NaZnIn2F6, with properties calculated at the PBE level.

Results
Uncorrected formation energy ... -2.164 eV per atom

```
NaZnIn2F6
1.0
-4.832 -0.167 3.399
-3.237 -4.936 0.296
0.201 -3.356 5.261
F In Zn Na
6 2 1 1
Cartesian
-3.410 -3.280 6.472
-2.012 -3.751 1.518
-4.111 -6.034 5.843
-0.706 -0.952 1.731
-3.286 -1.583 3.323
-1.750 -4.823 4.645
-4.292 -4.025 3.979
0.009 -3.246 4.993
-2.582 -1.762 1.381
-6.396 -6.061 6.026
```

---

Below is an optimized crystal structure of VCuAg, with properties calculated at the PBE level.

Results
ΔH_f (0 K) ... 0.278 eV per atom
Polymorph energy (0 for the lowest one) ... 0.41 eV/f.u.

```
VCuAg
1.0
-1.713 1.920 -0.989
-0.617 -2.438 -4.060
-5.957 -2.862 1.916
Cu Ag V
2 2 2
Cartesian
-2.042 0.311 -2.680
-3.622 -1.512 -3.336
-4.554 -3.524 -1.803
-2.834 -1.410 -0.600
-7.028 -4.715 -2.330
-5.767 -1.632 -0.026
```

---

Below is an optimized crystal structure of Y2SbAs, with properties calculated at the PBE level.

Results
Uncorrected formation energy ... -0.191 eV per atom

```
Y2SbAs
1.0
9.530 -0.011 -0.007
8.801 3.654 -0.007
8.801 1.749 3.208
Sb Y As
1 2 1
Cartesian
20.665 4.107 2.433
6.401 1.272 0.754
0.175 0.035 0.021
13.457 2.674 1.585
```

---

Below is an optimized crystal structure of AlTc2Hg, with properties calculated at the PBE level.

Results
ΔH_f (0 K) ... 0.018 eV per atom
Polymorph energy (0 for the lowest one) ... 0.00 eV/f.u.

```
AlTc2Hg
1.0
-2.666 0.000 1.325
0.104 -2.973 0.211
3.388 -2.365 6.819
Tc Hg Al
2 1 1
Cartesian
0.236 -2.947 0.476
-0.473 -1.340 2.394
1.300 -3.992 5.961
1.615 -2.701 3.250
```

---

Below is an optimized crystal structure of SrBePt3, with properties calculated at the PBE level.

Results
ΔH_f (0 K) ... -0.422 eV per atom
Polymorph energy (0 for the lowest one) ... 1.61 eV/f.u.

```
SrBePt3
1.0
2.622 -7.937 0.000
2.622 7.937 0.000
0.000 0.000 5.173
Sr Pt Be
2 6 2
Cartesian
2.622 1.514 1.293
2.622 -1.514 3.880
3.907 -3.678 1.293
0.000 0.000 0.000
1.337 3.678 3.880
1.337 -3.678 1.293
0.000 0.000 2.587
3.907 3.678 3.880
2.622 -6.025 3.880
2.622 6.025 1.293
```

---

Below is an optimized crystal structure of Zr2Zn, with properties calculated at the PBE level.

Results
ΔH_f (0 K) ... -0.151 eV per atom

```
Zr2Zn
1.0
7.250 -0.016 0.000
-6.180 3.790 0.000
0.000 0.000 4.441
Zn Zr
2 4
Cartesian
6.113 0.306 1.110
-5.043 3.468 3.331
3.712 0.986 3.331
-0.504 2.182 3.331
1.574 1.592 1.110
-2.642 2.788 1.110
```

---

Below is an optimized crystal structure of GaHg2Te4, with properties calculated at the PBE level.

Results
Uncorrected formation energy ... -0.141 eV per atom

```
GaHg2Te4
1.0
-4.710 2.663 -3.148
-4.073 -2.263 4.180
5.020 4.903 2.859
Te Hg Ga
4 2 1
Cartesian
2.830 3.937 2.401
-4.430 2.567 -0.729
-1.834 4.150 2.948
-4.092 -0.049 3.162
-1.722 1.420 3.778
-2.041 3.883 0.113
-4.392 0.200 0.516
```

---

Below is an optimized crystal structure of RbZrSc2Mn, with properties calculated at the PBE level.

Results
ΔH_f (0 K) ... 0.544 eV per atom

```
RbZrSc2Mn
1.0
5.225 0.000 0.000
0.000 4.886 0.000
0.000 0.000 5.225
Zr Rb Sc Mn
1 1 2 1
Cartesian
0.000 2.443 0.000
2.613 2.443 2.613
0.000 0.000 2.613
2.613 0.000 0.000
0.000 0.000 0.000
```

---

Below is an optimized crystal structure of LiPr2NdTe4, with properties calculated at the PBE level.

Results
Uncorrected formation energy ... -1.383 eV per atom

```
LiPr2NdTe4
1.0
-0.434 3.557 2.669
-0.889 -4.699 6.117
6.948 -1.497 3.123
Te Li Pr Nd
4 1 2 1
Cartesian
0.987 1.962 5.024
0.821 -2.069 6.630
4.805 -0.570 5.280
4.638 -4.602 6.885
-0.661 -0.571 4.393
6.948 -1.497 3.123
3.257 1.030 2.896
3.029 -3.098 4.620
```

---

Below is an optimized crystal structure of Tm6Al2Ga, with properties calculated at the PBE level.

Results
ΔH_f (0 K) ... -0.303 eV per atom
Polymorph energy (0 for the lowest one) ... 0.00 eV/f.u.

```
Tm6Al2Ga
1.0
-3.300 -7.640 1.568
2.344 3.335 7.424
-6.742 0.501 5.100
Tm Al Ga
12 4 2
Cartesian
-3.756 -0.187 5.088
-2.887 -2.205 2.270
-8.266 -4.965 7.898
-4.811 -1.599 11.822
-3.220 -3.707 5.405
-3.942 -3.617 9.003
-6.784 -4.312 11.132
-4.478 -0.098 8.687
-6.310 -2.178 6.677
0.568 1.161 6.194
-0.915 0.507 2.959
-1.389 -1.626 7.415
-5.377 -5.174 6.685
-2.321 1.370 7.407
-4.536 -4.716 2.837
-5.506 -2.423 3.832
0.000 0.000 0.000
-0.478 -2.153 4.496
```

---

Below is an optimized crystal structure of PaPdAu4, with properties calculated at the PBE level.

Results
ΔH_f (0 K) ... -0.313 eV per atom
Polymorph energy (0 for the lowest one) ... 0.00 eV/f.u.

```
PaPdAu4
1.0
-4.036 -2.288 -1.734
-2.163 -0.194 5.162
-4.751 7.330 1.323
Pa Pd Au
2 2 8
Cartesian
-5.958 4.873 3.774
-4.991 -0.025 0.978
-6.126 -0.015 3.541
-4.824 4.863 1.211
-1.857 0.004 0.713
-8.004 4.932 1.382
-4.167 2.390 2.915
-9.093 4.844 4.039
-2.945 -0.084 3.370
-6.782 2.457 1.836
-3.084 2.487 0.327
-7.865 2.361 4.424
```

---

Below is an optimized crystal structure of CoReW2, with properties calculated at the PBE level.

Results
ΔH_f (0 K) ... 0.134 eV per atom
Polymorph energy (0 for the lowest one) ... 0.04 eV/f.u.

```
CoReW2
1.0
-2.500 -0.739 0.702
0.830 -1.860 -1.772
3.073 -4.525 6.187
W Re Co
2 1 1
Cartesian
1.480 -2.179 2.979
0.057 -0.084 0.115
1.470 -4.693 4.105
-0.067 -2.430 1.012
```